No. 1
Here is a relaxed structure of K2LiAs from the Alexandria database. Energies are from PBE-GGA.

Cell and atoms, written as POSCAR:
```
K2LiAs
1.0
-0.4169 -0.0222 -4.7596
-3.5123 -3.2231 0.3227
-9.4571 6.6041 -1.6005
As K Li
2 4 2
Direct
0.7500 0.2500 0.5000 As
0.0000 0.0000 0.0000 As
0.1193 0.6250 0.2500 K
0.8750 0.8807 0.7500 K
0.3750 0.3693 0.7500 K
0.6307 0.1250 0.2500 K
0.2500 0.7500 0.5000 Li
0.5000 0.5000 0.0000 Li
```

Output
**Space-group type**: I-42d, No. 122
**E**: -0.0785 Ha/atom
**DFT formation energy**: 5.2 kJ per mole of atoms
**Density**: 2.089 g/cm3

No. 2
Here is a relaxed structure of KLiAs2 from the Alexandria database. Energies are from PBE-GGA.

Cell and atoms, written as POSCAR:
```
KLiAs2
1.0
-0.8254 1.7607 -4.2724
-0.0134 -10.6188 -4.3735
-14.3838 -0.9629 2.3820
Li K As
8 8 16
Direct
0.7500 0.9371 0.4413 Li
0.2500 0.7880 0.3108 Li
0.7500 0.5629 0.9413 Li
0.2500 0.7120 0.8108 Li
0.2500 0.0629 0.5587 Li
0.7500 0.2120 0.6892 Li
0.7500 0.2880 0.1892 Li
0.2500 0.4371 0.0587 Li
0.2500 0.0053 0.7954 K
0.7500 0.9947 0.2046 K
0.2500 0.7715 0.5564 K
0.7500 0.5053 0.7046 K
0.7500 0.2715 0.9436 K
0.7500 0.2285 0.4436 K
0.2500 0.4947 0.2954 K
0.2500 0.7285 0.0564 K
0.2500 0.0158 0.3727 As
0.2500 0.1995 0.2832 As
0.2500 0.2007 0.1104 As
0.7500 0.9942 0.9579 As
0.7500 0.5058 0.4579 As
0.7500 0.8005 0.7168 As
0.7500 0.6995 0.2168 As
0.2500 0.4942 0.5421 As
0.7500 0.7007 0.3896 As
0.7500 0.9842 0.6273 As
0.2500 0.2993 0.6104 As
0.7500 0.7993 0.8896 As
0.7500 0.5158 0.1273 As
0.2500 0.0058 0.0421 As
0.2500 0.4842 0.8727 As
0.2500 0.3005 0.7832 As
```

Output
**Space-group type**: Pnma, No. 62
**Relative energy among the computed polymorphs**: 0.0 meV/atom
**E**: -0.1299 Ha/atom
**DFT formation energy**: -44.2 kJ per mole of atoms
**Density**: 3.304 g/cm3

No. 3
Here is a relaxed structure of KLiAs2 from the Alexandria database. Energies are from PBE-GGA.

Cell and atoms, written as POSCAR:
```
KLiAs2
1.0
9.7936 -0.0332 -0.0195
9.2742 3.1474 -0.0195
9.2742 1.5147 2.7590
As Li K
2 1 1
Direct
0.4881 0.4881 0.4881 As
0.0119 0.0119 0.0119 As
0.7500 0.7500 0.7500 Li
0.2500 0.2500 0.2500 K
```

Output
**Space-group type**: R-3m, No. 166
**Relative energy among the computed polymorphs**: 399.6 meV/atom
**E**: -0.1153 Ha/atom
**DFT formation energy**: -5.7 kJ per mole of atoms
**Density**: 3.761 g/cm3

No. 4
Here is a relaxed structure of K2LiAs from the Alexandria database. Energies are from PBE-GGA.

Cell and atoms, written as POSCAR:
```
K2LiAs
1.0
4.7345 0.0000 0.0000
0.0000 5.6939 -0.0010
0.0000 2.8491 5.1451
Li As K
1 1 2
Direct
0.0000 0.6301 0.6150 Li
0.5000 0.6152 0.6444 As
0.5000 0.2892 0.2966 K
0.0000 0.9655 0.9441 K
```

Output
**Space-group type**: Amm2, No. 38
**E**: -0.0951 Ha/atom
**DFT formation energy**: -38.4 kJ per mole of atoms
**Density**: 1.916 g/cm3

No. 5
Here is a relaxed structure of K2LiAs from the Alexandria database. Energies are from PBE-GGA.

Cell and atoms, written as POSCAR:
```
K2LiAs
1.0
5.9985 0.0002 -0.0023
1.3512 5.8443 0.0023
-3.1369 -3.5988 3.6319
K As Li
2 1 1
Direct
0.0388 0.0388 0.0000 K
0.7225 0.2225 0.5000 K
0.3295 0.8295 0.5000 As
0.4092 0.4092 0.0000 Li
```

Output
**Space-group type**: Imm2, No. 44
**E**: -0.0952 Ha/atom
**DFT formation energy**: -38.8 kJ per mole of atoms
**Density**: 2.087 g/cm3

No. 6
Here is a relaxed structure of KLiAs from the Alexandria database. Energies are from PBE-GGA.

Cell and atoms, written as POSCAR:
```
KLiAs
1.0
0.6668 4.0716 -2.2419
-1.3096 -2.0085 -4.0372
-6.5491 0.8149 4.4496
Li As K
2 2 2
Direct
0.5000 0.0000 0.0000 Li
0.0000 0.5000 0.0000 Li
0.9093 0.9093 0.8186 As
0.0907 0.0907 0.1814 As
0.6769 0.6769 0.3539 K
0.3231 0.3231 0.6461 K
```

Output
**Space-group type**: I4/mmm, No. 139
**Relative energy among the computed polymorphs**: 15.5 meV/atom
**E**: -0.1111 Ha/atom
**DFT formation energy**: -45.4 kJ per mole of atoms
**Density**: 2.519 g/cm3

No. 7
Here is a relaxed structure of KNaLi2As from the Alexandria database. Energies are from PBE-GGA.

Cell and atoms, written as POSCAR:
```
KNaLi2As
1.0
-0.2563 -2.4005 -4.4855
0.4034 -4.4866 2.3781
-5.7109 -0.2653 0.4683
Na Li K As
1 2 1 1
Direct
0.0000 0.0000 0.5000 Na
0.5000 0.0000 0.0000 Li
0.0000 0.5000 0.0000 Li
0.5000 0.5000 0.5000 K
0.0000 0.0000 0.0000 As
```

Output
**Space-group type**: P4/mmm, No. 123
**E**: -0.0913 Ha/atom
**DFT formation energy**: -29.6 kJ per mole of atoms
**Density**: 1.683 g/cm3

No. 8
Here is a relaxed structure of K3LiAs2O6 from the Alexandria database. Energies are from PBE-GGA.

Cell and atoms, written as POSCAR:
```
K3LiAs2O6
1.0
-0.0531 3.9497 4.4914
-4.6521 -0.3333 -3.7447
-3.0047 -4.7677 4.1572
O K Li As
6 3 1 2
Direct
0.6491 0.8246 0.2964 O
0.8246 0.1754 0.7036 O
0.3509 0.1754 0.7036 O
0.8246 0.6491 0.7036 O
0.1754 0.8246 0.2964 O
0.1754 0.3509 0.2964 O
0.6667 0.3333 0.3343 K
0.3333 0.6667 0.6657 K
0.0000 0.0000 0.0000 K
0.0000 0.0000 0.5000 Li
0.3333 0.6667 0.2148 As
0.6667 0.3333 0.7852 As
```

Output
**ΔE_f (raw)**: -1467 meV per atom
**Space-group type**: P-3m1, No. 164
**E**: -0.1894 Ha/atom
**Density**: 2.832 g/cm3

No. 9
Here is a relaxed structure of K2LiAs2O6 from the Alexandria database. Energies are from PBE-GGA.

Cell and atoms, written as POSCAR:
```
K2LiAs2O6
1.0
-2.0879 -1.1399 -5.4418
0.8794 -5.3331 -2.4611
-5.4570 -4.0709 -0.2944
O Li As K
6 1 2 2
Direct
0.2475 0.2475 0.7692 O
0.7525 0.7525 0.2308 O
0.2475 0.7358 0.7692 O
0.2642 0.7525 0.2308 O
0.7358 0.2475 0.7692 O
0.7525 0.2642 0.2308 O
0.0000 0.0000 0.0000 Li
0.5740 0.5740 0.2780 As
0.4260 0.4260 0.7220 As
0.7864 0.7864 0.6407 K
0.2136 0.2136 0.3593 K
```

Output
**ΔE_f (raw)**: -1417 meV per atom
**Space-group type**: R-3m, No. 166
**E**: -0.1963 Ha/atom
**Density**: 3.055 g/cm3

No. 10
Here is a relaxed structure of KLiAsO4 from the Alexandria database. Energies are from PBE-GGA.

Cell and atoms, written as POSCAR:
```
KLiAsO4
1.0
-3.7631 -2.8980 3.0192
-2.7711 -1.3172 -4.7182
5.4066 -1.0588 0.4769
O As Li K
4 1 1 1
Direct
0.4905 0.5951 0.7458 O
0.8493 0.5095 0.2542 O
0.4049 0.7446 0.2542 O
0.2554 0.1507 0.7458 O
0.5000 0.5000 0.0000 As
0.2500 0.7500 0.5000 Li
0.0000 0.0000 0.0000 K
```

Output
**ΔE_f (raw)**: -1442 meV per atom
**Space-group type**: I-4, No. 82
**E**: -0.1973 Ha/atom
**Density**: 2.525 g/cm3

No. 11
Here is a relaxed structure of K5Li3Ti8As8O40 from the Alexandria database. Energies are from PBE-GGA.

Cell and atoms, written as POSCAR:
```
K5Li3Ti8As8O40
1.0
-2.3613 4.5732 4.2875
-10.2319 -2.8942 -2.3839
0.2529 -8.9269 9.7482
As Ti O Li K
8 8 40 3 5
Direct
0.8291 0.7336 0.9956 As
0.1730 0.2312 0.0014 As
0.3315 0.2331 0.5032 As
0.6676 0.7297 0.4980 As
0.4894 0.4859 0.1828 As
0.5121 0.9839 0.8172 As
0.0128 0.4827 0.6820 As
0.9844 0.9857 0.3202 As
0.7335 0.7434 0.2453 Ti
0.0091 0.9912 0.8695 Ti
0.9907 0.4914 0.1298 Ti
0.7735 0.7421 0.7447 Ti
0.4860 0.9891 0.3692 Ti
0.2753 0.2423 0.7552 Ti
0.2257 0.2425 0.2559 Ti
0.5140 0.4888 0.6320 Ti
0.0547 0.3676 0.7712 O
0.2135 0.5162 0.6077 O
0.5346 0.6035 0.2677 O
0.4594 0.3555 0.7187 O
0.0633 0.1094 0.7834 O
0.0104 0.3531 0.0065 O
0.7825 0.0143 0.3962 O
0.4363 0.1078 0.2826 O
0.0260 0.1096 0.2418 O
0.4976 0.8474 0.4943 O
0.9563 0.8565 0.7804 O
0.6952 0.4463 0.1124 O
0.5026 0.3484 0.5069 O
0.4588 0.0940 0.4996 O
0.2893 0.5196 0.1078 O
0.9496 0.8651 0.2366 O
0.0034 0.8456 0.9871 O
0.9637 0.6009 0.7672 O
0.0356 0.0983 0.9943 O
0.1914 0.9468 0.3896 O
0.6709 0.7548 0.0981 O
0.4666 0.1006 0.7310 O
0.9384 0.6134 0.2136 O
0.5611 0.6101 0.7155 O
0.0467 0.3584 0.2168 O
0.4484 0.3674 0.2689 O
0.1836 0.2258 0.6093 O
0.5506 0.8665 0.7295 O
0.7109 0.0160 0.8925 O
0.8278 0.7460 0.5987 O
0.5387 0.5924 0.5015 O
0.8094 0.4436 0.6119 O
0.1746 0.2526 0.4017 O
0.8139 0.7201 0.3916 O
0.3175 0.2146 0.1081 O
0.3332 0.2467 0.8998 O
0.3101 0.9455 0.8901 O
0.6792 0.7246 0.8904 O
0.9570 0.5942 0.9997 O
0.5402 0.8574 0.2797 O
0.9423 0.4616 0.8947 Li
0.4428 0.9618 0.6051 Li
0.5570 0.4600 0.3946 Li
0.2001 0.6855 0.3973 K
0.2962 0.9220 0.1093 K
0.7181 0.1886 0.1164 K
0.2929 0.6845 0.8717 K
0.7993 0.1837 0.6082 K
```

Output
**ΔE_f (raw)**: -2120 meV per atom
**Space-group type**: P1, No. 1
**E**: -0.2559 Ha/atom
**Density**: 3.164 g/cm3

No. 12
Here is a relaxed structure of KLiAsPb2 from the Alexandria database. Energies are from PBE-GGA.

Cell and atoms, written as POSCAR:
```
KLiAsPb2
1.0
-0.2451 3.2644 4.9858
-4.1143 -3.3755 2.0078
4.1111 -3.5199 2.5067
Li As Pb K
1 1 2 1
Direct
0.5000 0.5000 0.5000 Li
0.0000 0.5000 0.0000 As
0.5000 0.0000 0.0000 Pb
0.0000 0.0000 0.5000 Pb
0.0000 0.0000 0.0000 K
```

Output
**Space-group type**: P4/mmm, No. 123
**E**: -0.0787 Ha/atom
**DFT formation energy**: 84.4 kJ per mole of atoms
**Density**: 4.393 g/cm3

No. 13
Here is a relaxed structure of K2LiAs2Pt from the Alexandria database. Energies are from PBE-GGA.

Cell and atoms, written as POSCAR:
```
K2LiAs2Pt
1.0
6.2215 0.0000 0.0000
0.0000 6.4629 0.0000
-3.1107 -3.2315 7.6249
As Li Pt K
4 2 2 4
Direct
0.1880 0.9123 0.8246 As
0.3633 0.5877 0.1754 As
0.6367 0.4123 0.8246 As
0.8120 0.0877 0.1754 As
0.0000 0.2500 0.0000 Li
0.0000 0.7500 0.0000 Li
0.5000 0.2500 0.0000 Pt
0.5000 0.7500 0.0000 Pt
0.9386 0.6706 0.3412 K
0.4026 0.1706 0.3412 K
0.0614 0.3294 0.6588 K
0.5974 0.8294 0.6588 K
```

Output
**Space-group type**: Ibam, No. 72
**E**: -0.1360 Ha/atom
**DFT formation energy**: -44.3 kJ per mole of atoms
**Density**: 4.659 g/cm3

No. 14
Here is a relaxed structure of KLi2AsPt from the Alexandria database. Energies are from PBE-GGA.

Cell and atoms, written as POSCAR:
```
KLi2AsPt
1.0
5.0286 0.0000 0.0000
0.0000 5.0286 0.0000
0.0000 0.0000 4.7347
As K Pt Li
1 1 1 2
Direct
0.0000 0.0000 0.5000 As
0.5000 0.5000 0.5000 K
0.0000 0.0000 0.0000 Pt
0.5000 0.0000 0.0000 Li
0.0000 0.5000 0.0000 Li
```

Output
**Space-group type**: P4/mmm, No. 123
**E**: -0.1297 Ha/atom
**DFT formation energy**: -39.2 kJ per mole of atoms
**Density**: 4.480 g/cm3

No. 15
Here is a relaxed structure of KRbLi2As from the Alexandria database. Energies are from PBE-GGA.

Cell and atoms, written as POSCAR:
```
KRbLi2As
1.0
5.5436 0.0000 0.0000
0.0000 6.2357 0.0000
0.0000 0.0000 5.5436
Li As K Rb
2 1 1 1
Direct
0.0000 0.0000 0.5000 Li
0.5000 0.0000 0.0000 Li
0.5000 0.5000 0.5000 As
0.0000 0.0000 0.0000 K
0.0000 0.5000 0.0000 Rb
```

Output
**Space-group type**: P4/mmm, No. 123
**E**: -0.0512 Ha/atom
**DFT formation energy**: 69.1 kJ per mole of atoms
**Density**: 1.849 g/cm3

No. 16
Here is a relaxed structure of K2RbLiAs from the Alexandria database. Energies are from PBE-GGA.

Cell and atoms, written as POSCAR:
```
K2RbLiAs
1.0
-1.1341 5.5511 -3.5667
-2.4228 -3.7165 -5.0139
-4.6310 0.3331 1.9909
Rb K As Li
1 2 1 1
Direct
0.5000 0.5000 0.5000 Rb
0.5000 0.0000 0.0000 K
0.0000 0.5000 0.0000 K
0.0000 0.0000 0.0000 As
0.0000 0.0000 0.5000 Li
```

Output
**Space-group type**: P4/mmm, No. 123
**E**: -0.0794 Ha/atom
**DFT formation energy**: -20.8 kJ per mole of atoms
**Density**: 1.801 g/cm3

No. 17
Here is a relaxed structure of KRbLiAs from the Alexandria database. Energies are from PBE-GGA.

Cell and atoms, written as POSCAR:
```
KRbLiAs
1.0
-1.0880 3.9947 -2.5491
-4.4707 0.5790 -1.8212
-3.9197 4.8799 4.6835
K Li Rb As
1 1 1 1
Direct
0.0161 0.0161 0.9516 K
0.2685 0.2685 0.1945 Li
0.8394 0.8394 0.4819 Rb
0.6018 0.6018 0.1945 As
```

Output
**Space-group type**: R3m, No. 160
**Relative energy among the computed polymorphs**: 0.0 meV/atom
**E**: -0.0932 Ha/atom
**DFT formation energy**: -36.5 kJ per mole of atoms
**Density**: 2.295 g/cm3

No. 18
Here is a relaxed structure of KRbLiAs from the Alexandria database. Energies are from PBE-GGA.

Cell and atoms, written as POSCAR:
```
KRbLiAs
1.0
-1.5895 4.2279 3.0441
-5.0624 1.9517 -0.4809
-3.5976 -0.7399 4.0222
Rb As Li K
1 1 1 1
Direct
0.7500 0.7500 0.7500 Rb
0.2500 0.2500 0.2500 As
0.0000 0.0000 0.0000 Li
0.5000 0.5000 0.5000 K
```

Output
**Space-group type**: F-43m, No. 216
**Relative energy among the computed polymorphs**: 104.1 meV/atom
**E**: -0.0893 Ha/atom
**DFT formation energy**: -26.4 kJ per mole of atoms
**Density**: 3.000 g/cm3

No. 19
Here is a relaxed structure of K2LiAsS4 from the Alexandria database. Energies are from PBE-GGA.

Cell and atoms, written as POSCAR:
```
K2LiAsS4
1.0
5.8092 0.0000 0.0000
2.9046 6.5923 0.0000
2.9046 0.0000 11.9100
S As K Li
8 2 4 2
Direct
0.5151 0.3021 0.6029 S
0.2349 0.1979 0.8971 S
0.5673 0.1979 0.1029 S
0.8680 0.8021 0.8971 S
0.3298 0.8021 0.1029 S
0.1827 0.3021 0.3971 S
0.4202 0.6979 0.3971 S
0.8820 0.6979 0.6029 S
0.5000 0.0000 0.0000 As
0.2500 0.5000 0.5000 As
0.1833 0.0000 0.6333 K
0.9333 0.5000 0.1333 K
0.8167 0.0000 0.3667 K
0.5667 0.5000 0.8667 K
0.0000 0.0000 0.0000 Li
0.7500 0.5000 0.5000 Li
```

Output
**ΔE_f (raw)**: -820 meV per atom
**Space-group type**: Fddd, No. 70
**E**: -0.1462 Ha/atom
**Density**: 2.099 g/cm3

No. 20
Here is a relaxed structure of KLiAsS2 from the Alexandria database. Energies are from PBE-GGA.

Cell and atoms, written as POSCAR:
```
KLiAsS2
1.0
-2.8562 -4.0313 3.9878
2.1212 -4.1107 -2.6362
4.5415 2.2480 5.5253
K As S Li
2 2 4 2
Direct
0.2639 0.7500 0.5000 K
0.7361 0.2500 0.5000 K
0.0000 0.0000 0.0000 As
0.0000 0.5000 0.0000 As
0.2878 0.3869 0.7737 S
0.2878 0.1131 0.2263 S
0.7122 0.8869 0.7737 S
0.7122 0.6131 0.2263 S
0.5000 0.2500 0.0000 Li
0.5000 0.7500 0.0000 Li
```

Output
**ΔE_f (raw)**: -586 meV per atom
**Space-group type**: Cmme, No. 67
**E**: -0.1385 Ha/atom
**Density**: 2.595 g/cm3